# Cu2AgAsS4, optimized geometry, DFT PBE
data_Cu2AgAsS4
_space_group_name_H-M_alt 'I -4 2 m'
_space_group_IT_number 121
_space_group_name_Hall 'I -4 2'
_cell_length_a 5.566
_cell_length_b 5.566
_cell_length_c 10.351
_cell_angle_alpha 90.00
_cell_angle_beta 90.00
_cell_angle_gamma 90.00
loop_
_atom_site_label
_atom_site_type_symbol
_atom_site_fract_x
_atom_site_fract_y
_atom_site_fract_z
_atom_site_occupancy
Cu1 Cu 0.000 0.500 0.250 1
Ag1 Ag 0.000 0.000 0.000 1
As1 As 0.000 0.000 0.500 1
S1 S 0.229 0.229 0.635 1
# spin magnetization	0.00	μB per formula unit
# crystal system	tetragonal
# formation energy without anion corrections	-0.16	eV per atom
# calculated total energy	-4.19	eV/atom